This record from the Alexandria database describes a relaxed structure of ZrP2AuO. The functional is GGA-PBE.

Results
ΔE to the lowest computed polymorph = 1.358 eV/atom
D(E_F) = 2.61 states/eV/atom
Energy relative to the elements, uncorrected = 1162.6 meV per atom

Cell lengths 4.964, 4.964, 5.407 Å; angles 90.00, 90.00, 90.00 degrees
Space group P4/mmm (No. 123)
Symmetry-distinct sites (fractional):
Zr: 0.000 0.000 0.000 x1
P: 0.000 0.500 0.000 x2
Au: 0.000 0.000 0.500 x1
O: 0.500 0.500 0.500 x1